TbGdOsRu PBE optimized geometry; energy of formation = -0.1205 eV per atom; total magnetic moment = 7.0 μB/f.u.; space-group type = F-43m, No. 216; D(E_F) = 3.79 states/eV/f.u.; final energy = -9.925 eV per atom
1.0
4.842 0.000 0.000
2.421 4.194 0.000
2.421 1.398 3.954
Tb Gd Os Ru
1 1 1 1
direct
0.000 0.000 0.000
0.500 0.500 0.500
0.750 0.750 0.750
0.250 0.250 0.250